No. 1
A geometry-optimized K2P3Pb2 structure. Source: Alexandria, functional PBE-GGA.

Geometry as POSCAR:
```
K2P3Pb2
1.0
-5.3216 5.3216 5.3216
5.3216 -5.3216 5.3216
5.3216 5.3216 -5.3216
K P Pb
4 6 4
direct
0.0000 0.0043 0.5000
0.0043 0.5000 0.0000
0.4957 0.4957 0.4957
0.5000 0.0000 0.0043
0.1724 0.9224 0.2500
0.2500 0.1724 0.9224
0.3276 0.5776 0.7500
0.5776 0.7500 0.3276
0.7500 0.3276 0.5776
0.9224 0.2500 0.1724
0.0000 0.4091 0.5000
0.0909 0.0909 0.0909
0.4091 0.5000 0.0000
0.5000 0.0000 0.4091
```

## Properties
Calculated total energy = -3.595 eV per atom
DFT formation energy = 0.097 eV/atom
Symmetry = I2_13, No. 199

No. 2
A geometry-optimized EuAgP structure. Source: Alexandria, functional PBE-GGA.

Geometry as POSCAR:
```
EuAgP
1.0
4.3958 0.0000 0.0000
-2.1979 3.8068 0.0000
0.0000 0.0000 8.0154
Eu Ag P
2 2 2
direct
0.0000 0.0000 0.0000
0.0000 0.0000 0.5000
0.3333 0.6667 0.2500
0.6667 0.3333 0.7500
0.3333 0.6667 0.7500
0.6667 0.3333 0.2500
```

## Properties
Calculated total energy = -6.931 eV per atom
DFT formation energy = -0.753 eV/atom
Symmetry = P6_3/mmc, No. 194